## Be2H6Ru (PBE-GGA)

Data for a geometry-optimized Be2H6Ru structure.

Unit cell a=4.257 b=4.257 c=4.257 alpha=60.00 beta=60.00 gamma=60.00
Sites, in units of the cell vectors:
Be: 0.250 0.250 0.250
Be: 0.750 0.750 0.750
H: 0.227 0.227 0.773
H: 0.227 0.773 0.227
H: 0.227 0.773 0.773
H: 0.773 0.227 0.227
H: 0.773 0.227 0.773
H: 0.773 0.773 0.227
Ru: 0.500 0.500 0.500

Summary:
As for the total energy: -3.9743 eV per atom. The symmetry is Fm-3m (225). Its total moment is 0.000 μB/f.u.

## NdSmTmGa (PBE-GGA)

Data for a geometry-optimized NdSmTmGa structure.

Unit cell a=5.391 b=5.391 c=5.391 alpha=60.00 beta=60.00 gamma=60.00
Sites, in units of the cell vectors:
Nd: 0.000 0.000 0.000
Sm: 0.500 0.500 0.500
Tm: 0.750 0.750 0.750
Ga: 0.250 0.250 0.250

Summary:
The formation energy comes out at -0.4 eV per formula unit. As for the total energy: -4.3549 eV per atom. The symmetry is F-43m (216). Its total moment is 0.001 μB/f.u.

## NaAl2NiCl8 (PBE-GGA)

Data for a geometry-optimized NaAl2NiCl8 structure.

Unit cell a=6.373 b=6.373 c=8.810 alpha=90.00 beta=90.00 gamma=120.00
Sites, in units of the cell vectors:
Na: 0.000 0.000 0.000
Al: 0.333 0.667 0.747
Al: 0.667 0.333 0.253
Ni: 0.000 0.000 0.500
Cl: 0.027 0.326 0.674
Cl: 0.299 0.973 0.674
Cl: 0.326 0.299 0.326
Cl: 0.333 0.667 0.991
Cl: 0.667 0.333 0.009
Cl: 0.674 0.701 0.674
Cl: 0.701 0.027 0.326
Cl: 0.973 0.674 0.326

Summary:
As for the total energy: -3.7130 eV per atom. The symmetry is P-3 (147). Its total moment is 1.000 μB/f.u.

## Nd6AsP3S2 (PBE-GGA)

Data for a geometry-optimized Nd6AsP3S2 structure.

Unit cell a=9.307 b=9.307 c=8.317 alpha=103.11 beta=103.11 gamma=25.83
Sites, in units of the cell vectors:
Nd: 0.001 0.001 0.246
Nd: 0.332 0.332 0.421
Nd: 0.335 0.335 0.912
Nd: 0.665 0.665 0.088
Nd: 0.668 0.668 0.579
Nd: 0.999 0.999 0.754
As: 0.500 0.500 0.500
P: 0.167 0.167 0.332
P: 0.500 0.500 0.000
P: 0.833 0.833 0.668
S: 0.168 0.168 0.836
S: 0.832 0.832 0.164

Summary:
As for the total energy: -6.5592 eV per atom. The symmetry is C2/m (12). Its total moment is 0.000 μB/f.u.

## InTe3S (PBE-GGA)

Data for a geometry-optimized InTe3S structure.

Unit cell a=5.665 b=5.665 c=5.665 alpha=90.00 beta=90.00 gamma=90.00
Sites, in units of the cell vectors:
In: 0.000 0.000 0.000
Te: 0.000 0.000 0.500
Te: 0.000 0.500 0.000
Te: 0.500 0.000 0.000
S: 0.500 0.500 0.500

Summary:
As for the total energy: -2.3929 eV per atom. The symmetry is Pm-3m (221). Its total moment is 1.210 μB/f.u.

## SrAl3Tc (PBE-GGA)

Data for a geometry-optimized SrAl3Tc structure.

Unit cell a=9.275 b=5.321 c=9.009 alpha=90.00 beta=99.33 gamma=90.00
Sites, in units of the cell vectors:
Sr: 0.125 0.001 0.190
Sr: 0.125 0.499 0.690
Sr: 0.875 0.501 0.310
Sr: 0.875 0.999 0.810
Al: 0.260 0.501 0.382
Al: 0.260 0.999 0.882
Al: 0.261 0.501 0.045
Al: 0.261 0.999 0.545
Al: 0.487 0.000 0.247
Al: 0.487 0.500 0.747
Al: 0.513 0.000 0.753
Al: 0.513 0.500 0.253
Al: 0.739 0.001 0.455
Al: 0.739 0.499 0.955
Al: 0.740 0.001 0.118
Al: 0.740 0.499 0.618
Tc: 0.500 0.248 0.500
Tc: 0.500 0.252 0.000
Tc: 0.500 0.748 0.000
Tc: 0.500 0.752 0.500

Summary:
The formation energy comes out at -1.1 eV per formula unit. As for the total energy: -4.8709 eV per atom. The symmetry is P2_1/c (14). Its total moment is 0.000 μB/f.u.

## RbInCl3 (PBE-GGA)

Data for a geometry-optimized RbInCl3 structure.

Unit cell a=8.965 b=8.965 c=8.356 alpha=94.47 beta=94.47 gamma=33.34
Sites, in units of the cell vectors:
Rb: 0.132 0.132 0.375
Rb: 0.868 0.868 0.625
In: 0.383 0.383 0.101
In: 0.617 0.617 0.899
Cl: 0.143 0.143 0.964
Cl: 0.324 0.324 0.380
Cl: 0.474 0.474 0.778
Cl: 0.526 0.526 0.222
Cl: 0.676 0.676 0.620
Cl: 0.857 0.857 0.036

Summary:
As for the total energy: -3.1884 eV per atom. The symmetry is C2/m (12). Its total moment is 0.000 μB/f.u.

## AlPCl7 (PBE-GGA)

Data for a geometry-optimized AlPCl7 structure.

Unit cell a=6.860 b=13.413 c=14.748 alpha=90.00 beta=99.10 gamma=90.00
Sites, in units of the cell vectors:
Al: 0.159 0.016 0.240
Al: 0.159 0.484 0.740
Al: 0.841 0.516 0.260
Al: 0.841 0.984 0.760
P: 0.410 0.224 0.086
P: 0.410 0.276 0.586
P: 0.590 0.724 0.414
P: 0.590 0.776 0.914
Cl: 0.087 0.565 0.357
Cl: 0.087 0.935 0.857
Cl: 0.105 0.023 0.379
Cl: 0.105 0.477 0.879
Cl: 0.211 0.170 0.600
Cl: 0.211 0.330 0.100
Cl: 0.271 0.625 0.705
Cl: 0.271 0.875 0.205
Cl: 0.282 0.127 0.992
Cl: 0.282 0.373 0.492
Cl: 0.378 0.707 0.972
Cl: 0.378 0.793 0.472
Cl: 0.405 0.129 0.243
Cl: 0.405 0.371 0.743
Cl: 0.595 0.629 0.257
Cl: 0.595 0.871 0.757
Cl: 0.622 0.207 0.528
Cl: 0.622 0.293 0.028
Cl: 0.718 0.627 0.508
Cl: 0.718 0.873 0.008
Cl: 0.729 0.125 0.795
Cl: 0.729 0.375 0.295
Cl: 0.789 0.670 0.900
Cl: 0.789 0.830 0.400
Cl: 0.895 0.523 0.121
Cl: 0.895 0.977 0.621
Cl: 0.913 0.065 0.143
Cl: 0.913 0.435 0.643

Summary:
As for the total energy: -3.4139 eV per atom. The symmetry is P2_1/c (14). Its total moment is 1.003 μB/f.u.

## Pr4Bi2Rh (PBE-GGA)

Data for a geometry-optimized Pr4Bi2Rh structure.

Unit cell a=8.177 b=4.311 c=8.486 alpha=90.00 beta=117.21 gamma=90.00
Sites, in units of the cell vectors:
Pr: 0.194 0.000 0.430
Pr: 0.284 0.500 0.854
Pr: 0.716 0.500 0.146
Pr: 0.806 0.000 0.570
Bi: 0.421 0.000 0.197
Bi: 0.579 0.000 0.803
Rh: 0.000 0.500 0.500

Summary:
The formation energy comes out at -3.5 eV per formula unit. As for the total energy: -5.3870 eV per atom. The symmetry is P2/m (10). Its total moment is 0.000 μB/f.u.

## VCuNi4 (PBE-GGA)

Data for a geometry-optimized VCuNi4 structure.

Unit cell a=4.009 b=4.009 c=4.970 alpha=90.18 beta=90.18 gamma=119.94
Sites, in units of the cell vectors:
V: 0.000 0.000 0.000
Cu: 0.000 0.000 0.500
Ni: 0.333 0.666 0.254
Ni: 0.334 0.667 0.746
Ni: 0.666 0.333 0.254
Ni: 0.667 0.334 0.746

Summary:
The formation energy comes out at 0.3 eV per formula unit. As for the total energy: -6.0078 eV per atom. The symmetry is C2/m (12). Its total moment is 0.696 μB/f.u.

## YRu2Pt (PBE-GGA)

Data for a geometry-optimized YRu2Pt structure.

Unit cell a=5.535 b=5.535 c=2.900 alpha=103.21 beta=103.21 gamma=120.15
Sites, in units of the cell vectors:
Y: 0.000 0.000 0.000
Ru: 0.000 0.500 0.500
Ru: 0.500 0.000 0.500
Pt: 0.500 0.500 0.000

Summary:
The formation energy comes out at 0.1 eV per formula unit. As for the total energy: -7.7516 eV per atom. The symmetry is C2/m (12). Its total moment is 0.002 μB/f.u.

## MnTlPtCl6 (PBE-GGA)

Data for a geometry-optimized MnTlPtCl6 structure.

Unit cell a=6.441 b=6.441 c=7.169 alpha=91.05 beta=91.05 gamma=117.88
Sites, in units of the cell vectors:
Mn: 0.000 0.000 0.000
Tl: 0.317 0.683 0.500
Pt: 0.656 0.344 0.000
Cl: 0.321 0.049 0.217
Cl: 0.337 0.318 0.816
Cl: 0.679 0.052 0.813
Cl: 0.682 0.663 0.184
Cl: 0.948 0.321 0.187
Cl: 0.951 0.679 0.783

Summary:
As for the total energy: -3.9310 eV per atom. The symmetry is C2 (5). Its total moment is 6.006 μB/f.u.

## HfSc2AuC (PBE-GGA)

Data for a geometry-optimized HfSc2AuC structure.

Unit cell a=4.466 b=4.466 c=4.484 alpha=90.00 beta=90.00 gamma=90.00
Sites, in units of the cell vectors:
Hf: 0.000 0.000 0.000
Sc: 0.000 0.500 0.500
Sc: 0.500 0.000 0.500
Au: 0.500 0.500 0.000
C: 0.000 0.000 0.500

Summary:
The formation energy comes out at -3.0 eV per formula unit. As for the total energy: -7.6156 eV per atom. The symmetry is P4/mmm (123). Its total moment is 0.000 μB/f.u.

## TlBi2Pb (PBE-GGA)

Data for a geometry-optimized TlBi2Pb structure.

Unit cell a=5.627 b=5.627 c=5.627 alpha=60.00 beta=60.00 gamma=60.00
Sites, in units of the cell vectors:
Tl: 0.000 0.000 0.000
Bi: 0.250 0.250 0.250
Bi: 0.750 0.750 0.750
Pb: 0.500 0.500 0.500

Summary:
The formation energy comes out at 0.3 eV per formula unit. As for the total energy: -3.3898 eV per atom. The symmetry is Fm-3m (225). Its total moment is 0.000 μB/f.u.

## Pr5Sm3Y4 (PBE-GGA)

Data for a geometry-optimized Pr5Sm3Y4 structure.

Unit cell a=8.752 b=8.752 c=9.410 alpha=114.70 beta=114.70 gamma=40.51
Sites, in units of the cell vectors:
Pr: 0.000 0.000 0.000
Pr: 0.076 0.076 0.700
Pr: 0.292 0.292 0.772
Pr: 0.708 0.708 0.228
Pr: 0.924 0.924 0.300
Sm: 0.174 0.174 0.386
Sm: 0.500 0.500 0.000
Sm: 0.826 0.826 0.614
Y: 0.291 0.291 0.125
Y: 0.419 0.419 0.562
Y: 0.581 0.581 0.438
Y: 0.709 0.709 0.875

Summary:
The formation energy comes out at 2.5 eV per formula unit. As for the total energy: -5.1156 eV per atom. The symmetry is C2/m (12). Its total moment is 0.443 μB/f.u.

## TlSeF (PBE-GGA)

Data for a geometry-optimized TlSeF structure.

Unit cell a=6.773 b=6.773 c=7.655 alpha=116.90 beta=116.90 gamma=30.25
Sites, in units of the cell vectors:
Tl: 0.000 0.000 0.000
Tl: 0.098 0.098 0.614
Se: 0.287 0.287 0.097
Se: 0.793 0.793 0.326
F: 0.507 0.507 0.761
F: 0.774 0.774 0.849

Summary:
As for the total energy: -3.6209 eV per atom. The symmetry is Cm (8). Its total moment is 0.000 μB/f.u.

## Y7Tm2Sc (PBE-GGA)

Data for a geometry-optimized Y7Tm2Sc structure.

Unit cell a=14.769 b=14.769 c=3.442 alpha=90.00 beta=90.00 gamma=155.02
Sites, in units of the cell vectors:
Y: 0.000 0.000 0.000
Y: 0.163 0.358 0.000
Y: 0.188 0.812 0.500
Y: 0.358 0.163 0.000
Y: 0.642 0.837 0.000
Y: 0.812 0.188 0.500
Y: 0.837 0.642 0.000
Tm: 0.292 0.708 0.000
Tm: 0.708 0.292 0.000
Sc: 0.500 0.500 0.500

Summary:
The formation energy comes out at 2.2 eV per formula unit. As for the total energy: -5.8292 eV per atom. The symmetry is Cmmm (65). Its total moment is 0.001 μB/f.u.

## KBeCr2 (PBE-GGA)

Data for a geometry-optimized KBeCr2 structure.

Unit cell a=5.169 b=5.169 c=3.069 alpha=90.00 beta=90.00 gamma=103.32
Sites, in units of the cell vectors:
K: 0.000 0.000 0.000
Be: 0.500 0.500 0.000
Cr: 0.000 0.500 0.500
Cr: 0.500 0.000 0.500

Summary:
The formation energy comes out at 6.0 eV per formula unit. As for the total energy: -4.5092 eV per atom. The symmetry is Cmmm (65). Its total moment is 8.812 μB/f.u.

## MgNb2AlCr (PBE-GGA)

Data for a geometry-optimized MgNb2AlCr structure.

Unit cell a=4.798 b=4.798 c=4.375 alpha=90.00 beta=90.00 gamma=90.00
Sites, in units of the cell vectors:
Mg: 0.000 0.000 0.000
Nb: 0.000 0.500 0.500
Nb: 0.500 0.000 0.500
Al: 0.500 0.500 0.500
Cr: 0.500 0.500 0.000

Summary:
The formation energy comes out at 5.8 eV per formula unit. As for the total energy: -5.8657 eV per atom. The symmetry is P4/mmm (123). Its total moment is 0.000 μB/f.u.

## MnAl2Pt2 (PBE-GGA)

Data for a geometry-optimized MnAl2Pt2 structure.

Unit cell a=4.420 b=4.420 c=4.461 alpha=90.00 beta=90.00 gamma=90.00
Sites, in units of the cell vectors:
Mn: 0.000 0.000 0.000
Al: 0.000 0.500 0.000
Al: 0.500 0.000 0.000
Pt: 0.000 0.000 0.500
Pt: 0.500 0.500 0.500

Summary:
The formation energy comes out at 2.7 eV per formula unit. As for the total energy: -5.2103 eV per atom. The symmetry is P4/mmm (123). Its total moment is 0.002 μB/f.u.